Here is an optimized crystal structure of PmGdLuPb from the Alexandria database. Energies are from PBE-GGA.

Cell: 7.808 7.808 7.808 Å, 90.00 90.00 90.00°
Fractional positions:
Pm: 0.000 0.000 0.000
Pm: 0.000 0.500 0.500
Pm: 0.500 0.000 0.500
Pm: 0.500 0.500 0.000
Gd: 0.000 0.000 0.500
Gd: 0.000 0.500 0.000
Gd: 0.500 0.000 0.000
Gd: 0.500 0.500 0.500
Lu: 0.250 0.250 0.250
Lu: 0.250 0.750 0.750
Lu: 0.750 0.250 0.750
Lu: 0.750 0.750 0.250
Pb: 0.250 0.250 0.750
Pb: 0.250 0.750 0.250
Pb: 0.750 0.250 0.250
Pb: 0.750 0.750 0.750

Total magnetization ... 8.04 μB/f.u.
Formation enthalpy at 0 K ... -0.6 eV per formula unit

Here is an optimized crystal structure of GdLuSnPb from the Alexandria database. Energies are from PBE-GGA.

Cell: 7.619 7.619 7.619 Å, 90.00 90.00 90.00°
Fractional positions:
Gd: 0.000 0.000 0.000
Gd: 0.000 0.500 0.500
Gd: 0.500 0.000 0.500
Gd: 0.500 0.500 0.000
Lu: 0.000 0.000 0.500
Lu: 0.000 0.500 0.000
Lu: 0.500 0.000 0.000
Lu: 0.500 0.500 0.500
Sn: 0.250 0.250 0.750
Sn: 0.250 0.750 0.250
Sn: 0.750 0.250 0.250
Sn: 0.750 0.750 0.750
Pb: 0.250 0.250 0.250
Pb: 0.250 0.750 0.750
Pb: 0.750 0.250 0.750
Pb: 0.750 0.750 0.250

Total magnetization ... 7.19 μB/f.u.
Formation enthalpy at 0 K ... -1.8 eV per formula unit

Here is an optimized crystal structure of GdLuZnPb from the Alexandria database. Energies are from PBE-GGA.

Cell: 7.396 7.396 7.396 Å, 90.00 90.00 90.00°
Fractional positions:
Gd: 0.000 0.000 0.000
Gd: 0.000 0.500 0.500
Gd: 0.500 0.000 0.500
Gd: 0.500 0.500 0.000
Lu: 0.000 0.000 0.500
Lu: 0.000 0.500 0.000
Lu: 0.500 0.000 0.000
Lu: 0.500 0.500 0.500
Zn: 0.250 0.250 0.750
Zn: 0.250 0.750 0.250
Zn: 0.750 0.250 0.250
Zn: 0.750 0.750 0.750
Pb: 0.250 0.250 0.250
Pb: 0.250 0.750 0.750
Pb: 0.750 0.250 0.750
Pb: 0.750 0.750 0.250

Total magnetization ... 7.47 μB/f.u.
Formation enthalpy at 0 K ... -1.4 eV per formula unit

Here is an optimized crystal structure of GdLuPd from the Alexandria database. Energies are from PBE-GGA.

Cell: 3.540 3.540 11.845 Å, 90.00 90.00 90.00°
Fractional positions:
Gd: 0.000 0.000 0.000
Gd: 0.500 0.500 0.500
Lu: 0.000 0.000 0.283
Lu: 0.500 0.500 0.783
Pd: 0.000 0.000 0.657
Pd: 0.500 0.500 0.157

Total magnetization ... 7.76 μB/f.u.
Relative energy among the computed polymorphs ... 0.00 eV/f.u.
Formation enthalpy at 0 K ... -1.7 eV per formula unit

Here is an optimized crystal structure of Gd2LuPd from the Alexandria database. Energies are from PBE-GGA.

Cell: 3.620 3.620 8.180 Å, 90.00 90.00 90.00°
Fractional positions:
Gd: 0.000 0.000 0.206
Gd: 0.000 0.000 0.794
Lu: 0.500 0.500 0.500
Pd: 0.500 0.500 0.000

Total magnetization ... 14.80 μB/f.u.
Relative energy among the computed polymorphs ... 0.00 eV/f.u.
Formation enthalpy at 0 K ... -1.5 eV per formula unit

Here is an optimized crystal structure of GdLuPd4 from the Alexandria database. Energies are from PBE-GGA.

Cell: 5.433 5.433 5.433 Å, 60.00 60.00 60.00°
Fractional positions:
Gd: 0.000 0.000 0.000
Lu: 0.250 0.250 0.250
Pd: 0.126 0.625 0.625
Pd: 0.625 0.126 0.625
Pd: 0.625 0.625 0.126
Pd: 0.625 0.625 0.625

Total magnetization ... 7.15 μB/f.u.
Formation enthalpy at 0 K ... -4.9 eV per formula unit

Here is an optimized crystal structure of GdLuPd from the Alexandria database. Energies are from PBE-GGA.

Cell: 4.749 4.749 3.812 Å, 90.00 90.00 120.00°
Fractional positions:
Gd: 0.000 0.000 0.000
Lu: 0.333 0.667 0.474
Pd: 0.667 0.333 0.664

Total magnetization ... 7.24 μB/f.u.
Relative energy among the computed polymorphs ... 0.49 eV/f.u.
Formation enthalpy at 0 K ... -1.2 eV per formula unit

Here is an optimized crystal structure of GdLuPd from the Alexandria database. Energies are from PBE-GGA.

Cell: 6.878 6.878 6.878 Å, 90.00 90.00 90.00°
Fractional positions:
Gd: 0.000 0.000 0.000
Gd: 0.000 0.500 0.500
Gd: 0.500 0.000 0.500
Gd: 0.500 0.500 0.000
Lu: 0.000 0.000 0.500
Lu: 0.000 0.500 0.000
Lu: 0.500 0.000 0.000
Lu: 0.500 0.500 0.500
Pd: 0.250 0.250 0.750
Pd: 0.250 0.750 0.250
Pd: 0.750 0.250 0.250
Pd: 0.750 0.750 0.750

Total magnetization ... 7.26 μB/f.u.
Relative energy among the computed polymorphs ... 0.25 eV/f.u.
Formation enthalpy at 0 K ... -1.5 eV per formula unit

Which of these has the lowest total magnetization? GdLuPd4